Here is a geometry-optimized HfSi3F structure from Alexandria. Energies are from PBE-GGA. Values from VASP.

Quantum ESPRESSO input file:
```
&SYSTEM
  ibrav = 0, nat = 5, ntyp = 3
/
ATOMIC_SPECIES
Hf 178.49 Hf.upf
Si 28.09 Si.upf
F 19.00 F.upf
ATOMIC_POSITIONS angstrom
Hf 0.0000 0.0000 0.0000
Si 0.0000 2.1391 2.1391
Si 2.1391 0.0000 2.1391
Si 2.1391 2.1391 0.0000
F 2.1391 2.1391 2.1391
CELL_PARAMETERS angstrom
4.2781 0.0000 0.0000
0.0000 4.2781 0.0000
0.0000 0.0000 4.2781
```

Summary:
energy above the most stable polymorph in this dataset	0.000	eV/atom
M_tot	0.000	μB per atom
space-group type	No. 221



Here is a geometry-optimized HfSi3F structure from Alexandria. Energies are from PBE-GGA. Values from VASP.

Quantum ESPRESSO input file:
```
&SYSTEM
  ibrav = 0, nat = 5, ntyp = 3
/
ATOMIC_SPECIES
Hf 178.49 Hf.upf
Si 28.09 Si.upf
F 19.00 F.upf
ATOMIC_POSITIONS angstrom
Hf 0.0000 0.0000 0.0000
Si 0.0000 0.0000 2.5502
Si 0.0000 2.5502 0.0000
Si 2.5502 0.0000 0.0000
F 2.5502 2.5502 2.5502
CELL_PARAMETERS angstrom
5.1004 0.0000 0.0000
0.0000 5.1004 0.0000
0.0000 0.0000 5.1004
```

Summary:
energy above the most stable polymorph in this dataset	0.713	eV/atom
M_tot	0.000	μB per atom
space-group type	No. 221



Here is a geometry-optimized HfSiF3 structure from Alexandria. Energies are from PBE-GGA. Values from VASP.

Quantum ESPRESSO input file:
```
&SYSTEM
  ibrav = 0, nat = 5, ntyp = 3
/
ATOMIC_SPECIES
Hf 178.49 Hf.upf
Si 28.09 Si.upf
F 19.00 F.upf
ATOMIC_POSITIONS angstrom
Hf 0.0000 0.0000 0.0000
Si 2.1379 2.1379 2.1379
F 0.0000 0.0000 2.1379
F 0.0000 2.1379 0.0000
F 2.1379 0.0000 0.0000
CELL_PARAMETERS angstrom
4.2757 0.0000 0.0000
0.0000 4.2757 0.0000
0.0000 0.0000 4.2757
```

Summary:
energy above the most stable polymorph in this dataset	0.000	eV/atom
M_tot	0.561	μB per atom
space-group type	No. 221



Here is a geometry-optimized HfSiF3 structure from Alexandria. Energies are from PBE-GGA. Values from VASP.

Quantum ESPRESSO input file:
```
&SYSTEM
  ibrav = 0, nat = 5, ntyp = 3
/
ATOMIC_SPECIES
Hf 178.49 Hf.upf
Si 28.09 Si.upf
F 19.00 F.upf
ATOMIC_POSITIONS angstrom
Hf 0.0000 0.0000 0.0000
Si 2.1527 2.1527 2.1527
F 0.0000 2.1527 2.1527
F 2.1527 0.0000 2.1527
F 2.1527 2.1527 0.0000
CELL_PARAMETERS angstrom
4.3054 0.0000 0.0000
0.0000 4.3054 0.0000
0.0000 0.0000 4.3054
```

Summary:
energy above the most stable polymorph in this dataset	0.992	eV/atom
M_tot	0.375	μB per atom
space-group type	No. 221



Here is a geometry-optimized HfSi2F structure from Alexandria. Energies are from PBE-GGA. Values from VASP.

Quantum ESPRESSO input file:
```
&SYSTEM
  ibrav = 0, nat = 8, ntyp = 3
/
ATOMIC_SPECIES
Hf 178.49 Hf.upf
Si 28.09 Si.upf
F 19.00 F.upf
ATOMIC_POSITIONS angstrom
Hf 0.0000 0.0000 0.0000
Hf 0.0000 2.3436 3.2946
Si 1.1718 -0.4385 4.9419
Si 1.9050 1.1718 1.6473
Si 1.1718 2.7821 -1.6473
Si 0.4385 1.1718 8.2365
F 2.3436 0.0000 3.2946
F 0.0000 0.0000 6.5892
CELL_PARAMETERS angstrom
-2.3436 2.3436 6.5892
2.3436 -2.3436 6.5892
2.3436 2.3436 -6.5892
```

Summary:
energy above the most stable polymorph in this dataset	0.183	eV/atom
M_tot	0.000	μB per atom
space-group type	No. 122



Here is a geometry-optimized HfSi2F structure from Alexandria. Energies are from PBE-GGA. Values from VASP.

Quantum ESPRESSO input file:
```
&SYSTEM
  ibrav = 0, nat = 4, ntyp = 3
/
ATOMIC_SPECIES
Hf 178.49 Hf.upf
Si 28.09 Si.upf
F 19.00 F.upf
ATOMIC_POSITIONS angstrom
Hf 0.0000 0.0000 0.0000
Si 1.6008 1.6008 1.6008
Si 4.8025 4.8025 4.8025
F 3.2017 3.2017 3.2017
CELL_PARAMETERS angstrom
0.0000 3.2017 3.2017
3.2017 0.0000 3.2017
3.2017 3.2017 0.0000
```

Summary:
energy above the most stable polymorph in this dataset	0.000	eV/atom
M_tot	0.000	μB per atom
space-group type	No. 225



Number 1: E_form (uncorrected) -0.044 eV per atom. Number 2: E_form (uncorrected) 0.669 eV per atom. Number 3: E_form (uncorrected) -1.749 eV per atom. Number 4: E_form (uncorrected) -0.757 eV per atom. Number 5: E_form (uncorrected) 0.006 eV per atom. Number 6: E_form (uncorrected) -0.178 eV per atom.